[1]
# MnIn2AgTe4 | Alexandria | PBE-GGA | optimized geometry
# Crystal system: orthorhombic
# Calculated density: 5.35 g/cm3
# Total magnetic moment: 16.79 Bohr magnetons per cell
# Uncorrected formation energy: -0.22 eV per atom
data_MnIn2AgTe4
_chemical_formula_sum 'Mn4 In8 Ag4 Te16'
_space_group_name_H-M_alt 'F m m 2'
_space_group_IT_number 42
_space_group_name_Hall 'F 2 -2'
_cell_length_a 9.3641
_cell_length_b 9.3643
_cell_length_c 12.7798
_cell_angle_alpha 90.00
_cell_angle_beta 90.00
_cell_angle_gamma 90.00
loop_
_atom_site_label
_atom_site_type_symbol
_atom_site_fract_x
_atom_site_fract_y
_atom_site_fract_z
Mn1 Mn 0.0000 0.0000 0.0000
In1 In 0.2500 0.2500 0.2497
Ag1 Ag 0.0000 0.0000 0.4993
Te1 Te 0.0000 0.2413 0.8860
Te2 Te 0.2416 0.0000 0.1135


[2]
# Mn2ZnInAg | Alexandria | PBE-GGA | optimized geometry
# DFT total energy: -19.74 eV for the cell shown
# Crystal system: tetragonal
# Calculated density: 4.40 g/cm3
# Total magnetic moment: 9.21 Bohr magnetons per cell
data_Mn2ZnInAg
_chemical_formula_sum 'Mn2 Zn1 In1 Ag1'
_space_group_name_H-M_alt 'P 4/m m m'
_space_group_IT_number 123
_space_group_name_Hall '-P 4 2'
_cell_length_a 5.2650
_cell_length_b 5.2650
_cell_length_c 5.4148
_cell_angle_alpha 90.00
_cell_angle_beta 90.00
_cell_angle_gamma 90.00
loop_
_atom_site_label
_atom_site_type_symbol
_atom_site_fract_x
_atom_site_fract_y
_atom_site_fract_z
Mn1 Mn 0.0000 0.5000 0.0000
Zn1 Zn 0.0000 0.0000 0.5000
In1 In 0.5000 0.5000 0.0000
Ag1 Ag 0.5000 0.5000 0.5000


[3]
# InAg2Mo | Alexandria | PBE-GGA | optimized geometry
# DFT total energy: -17.64 eV for the cell shown
# Crystal system: orthorhombic
# Calculated density: 9.62 g/cm3
# Total magnetic moment: 0.60 Bohr magnetons per cell
data_InAg2Mo
_chemical_formula_sum 'In1 Ag2 Mo1'
_space_group_name_H-M_alt 'P m m m'
_space_group_IT_number 47
_cell_length_a 3.0006
_cell_length_b 4.8869
_cell_length_c 5.0193
_cell_angle_alpha 90.00
_cell_angle_beta 90.00
_cell_angle_gamma 90.00
loop_
_space_group_symop_operation_xyz
'x,y,z'
'-x,-y,-z'
'-x,-y,z'
'x,y,-z'
'x,-y,-z'
'-x,y,z'
'-x,y,-z'
'x,-y,z'
loop_
_atom_site_label
_atom_site_type_symbol
_atom_site_fract_x
_atom_site_fract_y
_atom_site_fract_z
In1 In 0.0000 0.0000 0.0000
Ag1 Ag 0.0000 0.5000 0.5000
Ag2 Ag 0.5000 0.0000 0.5000
Mo1 Mo 0.5000 0.5000 0.0000


[4]
# InAgMo2 | Alexandria | PBE-GGA | optimized geometry
# DFT total energy: -74.64 eV for the cell shown
# Crystal system: trigonal
# Calculated density: 9.77 g/cm3
# Total magnetic moment: 0.00 Bohr magnetons per cell
data_InAgMo2
_chemical_formula_sum 'In3 Ag3 Mo6'
_space_group_name_H-M_alt 'R -3 m'
_space_group_IT_number 166
_space_group_name_Hall '-R 3 2"'
_cell_length_a 2.9030
_cell_length_b 2.9030
_cell_length_c 28.9765
_cell_angle_alpha 90.00
_cell_angle_beta 90.00
_cell_angle_gamma 120.00
loop_
_atom_site_label
_atom_site_type_symbol
_atom_site_fract_x
_atom_site_fract_y
_atom_site_fract_z
In1 In 0.0000 0.0000 0.0000
Ag1 Ag 0.0000 0.0000 0.5000
Mo1 Mo 0.0000 0.0000 0.2494


[5]
# InAgMo2 | Alexandria | PBE-GGA | optimized geometry
# DFT total energy: -25.20 eV for the cell shown
# Crystal system: tetragonal
# Calculated density: 9.90 g/cm3
# Total magnetic moment: 0.00 Bohr magnetons per cell
data_InAgMo2
_chemical_formula_sum 'In1 Ag1 Mo2'
_space_group_name_H-M_alt 'P 4/m m m'
_space_group_IT_number 123
_space_group_name_Hall '-P 4 2'
_cell_length_a 2.7986
_cell_length_b 2.7986
_cell_length_c 8.8743
_cell_angle_alpha 90.00
_cell_angle_beta 90.00
_cell_angle_gamma 90.00
loop_
_atom_site_label
_atom_site_type_symbol
_atom_site_fract_x
_atom_site_fract_y
_atom_site_fract_z
In1 In 0.0000 0.0000 0.0000
Ag1 Ag 0.0000 0.0000 0.5000
Mo1 Mo 0.5000 0.5000 0.2531


[6]
# InAg2Mo | Alexandria | PBE-GGA | optimized geometry
# DFT total energy: -17.69 eV for the cell shown
# Crystal system: orthorhombic
# Calculated density: 9.75 g/cm3
# Total magnetic moment: 0.00 Bohr magnetons per cell
data_InAg2Mo
_chemical_formula_sum 'In1 Ag2 Mo1'
_space_group_name_H-M_alt 'P m m 2'
_space_group_IT_number 25
_cell_length_a 2.8817
_cell_length_b 4.1091
_cell_length_c 6.1339
_cell_angle_alpha 90.00
_cell_angle_beta 90.00
_cell_angle_gamma 90.00
loop_
_space_group_symop_operation_xyz
'x,y,z'
'-x,-y,z'
'-x,y,z'
'x,-y,z'
loop_
_atom_site_label
_atom_site_type_symbol
_atom_site_fract_x
_atom_site_fract_y
_atom_site_fract_z
In1 In 0.0000 0.0000 0.0000
Ag1 Ag 0.0000 0.0000 0.4895
Ag2 Ag 0.5000 0.5000 0.7298
Mo1 Mo 0.5000 0.5000 0.2423


[7]
# InAg2Mo | Alexandria | PBE-GGA | optimized geometry
# DFT total energy: -66.28 eV for the cell shown
# Crystal system: tetragonal
# Calculated density: 8.82 g/cm3
# Total magnetic moment: 5.53 Bohr magnetons per cell
data_InAg2Mo
_chemical_formula_sum 'In4 Ag8 Mo4'
_space_group_name_H-M_alt 'I -4 2 d'
_space_group_IT_number 122
_space_group_name_Hall 'I -4 2bw'
_cell_length_a 3.9531
_cell_length_b 3.9531
_cell_length_c 20.5596
_cell_angle_alpha 90.00
_cell_angle_beta 90.00
_cell_angle_gamma 90.00
loop_
_atom_site_label
_atom_site_type_symbol
_atom_site_fract_x
_atom_site_fract_y
_atom_site_fract_z
In1 In 0.0000 0.0000 0.0000
Ag1 Ag 0.2468 0.2500 0.6250
Mo1 Mo 0.0000 0.0000 0.5000


[8]
# InAgMo2 | Alexandria | PBE-GGA | optimized geometry
# DFT total energy: -51.35 eV for the cell shown
# Crystal system: monoclinic
# Calculated density: 9.88 g/cm3
# Total magnetic moment: 0.00 Bohr magnetons per cell
data_InAgMo2
_chemical_formula_sum 'In2 Ag2 Mo4'
_space_group_name_H-M_alt 'C 1 2/m 1'
_space_group_IT_number 12
_cell_length_a 10.2223
_cell_length_b 3.5406
_cell_length_c 4.2133
_cell_angle_alpha 90.00
_cell_angle_beta 113.94
_cell_angle_gamma 90.00
loop_
_space_group_symop_operation_xyz
'x,y,z'
'-x,-y,-z'
'-x,y,-z'
'x,-y,z'
'x+1/2,y+1/2,z'
'-x+1/2,-y+1/2,-z'
'-x+1/2,y+1/2,-z'
'x+1/2,-y+1/2,z'
loop_
_atom_site_label
_atom_site_type_symbol
_atom_site_fract_x
_atom_site_fract_y
_atom_site_fract_z
In1 In 0.0000 0.0000 0.0000
Ag1 Ag 0.0000 0.5000 0.5000
Mo1 Mo 0.2504 0.0000 0.7654


[9]
# InAg2Mo | Alexandria | PBE-GGA | optimized geometry
# DFT total energy: -17.65 eV for the cell shown
# Crystal system: monoclinic
# Calculated density: 9.65 g/cm3
# Total magnetic moment: 0.17 Bohr magnetons per cell
data_InAg2Mo
_chemical_formula_sum 'In1 Ag2 Mo1'
_space_group_name_H-M_alt 'P 1 2/m 1'
_space_group_IT_number 10
_cell_length_a 2.8431
_cell_length_b 4.9335
_cell_length_c 5.2427
_cell_angle_alpha 90.00
_cell_angle_beta 93.78
_cell_angle_gamma 90.00
loop_
_space_group_symop_operation_xyz
'x,y,z'
'-x,-y,-z'
'-x,y,-z'
'x,-y,z'
loop_
_atom_site_label
_atom_site_type_symbol
_atom_site_fract_x
_atom_site_fract_y
_atom_site_fract_z
In1 In 0.0000 0.0000 0.0000
Ag1 Ag 0.2098 0.5000 0.7407
Mo1 Mo 0.5000 0.0000 0.5000


[10]
# InAg2Mo | Alexandria | PBE-GGA | optimized geometry
# DFT total energy: -53.60 eV for the cell shown
# Crystal system: trigonal
# Calculated density: 9.66 g/cm3
# Total magnetic moment: 0.00 Bohr magnetons per cell
data_InAg2Mo
_chemical_formula_sum 'In3 Ag6 Mo3'
_space_group_name_H-M_alt 'R 3 m'
_space_group_IT_number 160
_space_group_name_Hall 'R 3 -2"'
_cell_length_a 2.9698
_cell_length_b 2.9698
_cell_length_c 28.7951
_cell_angle_alpha 90.00
_cell_angle_beta 90.00
_cell_angle_gamma 120.00
loop_
_atom_site_label
_atom_site_type_symbol
_atom_site_fract_x
_atom_site_fract_y
_atom_site_fract_z
In1 In 0.0000 0.0000 0.0000
Ag1 Ag 0.0000 0.0000 0.5026
Ag2 Ag 0.0000 0.0000 0.7530
Mo1 Mo 0.0000 0.0000 0.2504


[11]
# InAgMo2 | Alexandria | PBE-GGA | optimized geometry
# DFT total energy: -92.60 eV for the cell shown
# Crystal system: tetragonal
# Calculated density: 9.02 g/cm3
# Total magnetic moment: 0.00 Bohr magnetons per cell
data_InAgMo2
_chemical_formula_sum 'In4 Ag4 Mo8'
_space_group_name_H-M_alt 'I -4 2 d'
_space_group_IT_number 122
_space_group_name_Hall 'I -4 2bw'
_cell_length_a 7.5445
_cell_length_b 7.5445
_cell_length_c 5.3634
_cell_angle_alpha 90.00
_cell_angle_beta 90.00
_cell_angle_gamma 90.00
loop_
_atom_site_label
_atom_site_type_symbol
_atom_site_fract_x
_atom_site_fract_y
_atom_site_fract_z
In1 In 0.0000 0.0000 0.0000
Ag1 Ag 0.0000 0.0000 0.5000
Mo1 Mo 0.2459 0.2500 0.6250


[12]
# InAg2Mo | Alexandria | PBE-GGA | optimized geometry
# DFT total energy: -34.79 eV for the cell shown
# Crystal system: orthorhombic
# Calculated density: 9.66 g/cm3
# Total magnetic moment: 1.39 Bohr magnetons per cell
data_InAg2Mo
_chemical_formula_sum 'In2 Ag4 Mo2'
_space_group_name_H-M_alt 'I m m 2'
_space_group_IT_number 44
_cell_length_a 2.9399
_cell_length_b 5.0430
_cell_length_c 9.8946
_cell_angle_alpha 90.00
_cell_angle_beta 90.00
_cell_angle_gamma 90.00
loop_
_space_group_symop_operation_xyz
'x,y,z'
'-x,-y,z'
'-x,y,z'
'x,-y,z'
'x+1/2,y+1/2,z+1/2'
'-x+1/2,-y+1/2,z+1/2'
'-x+1/2,y+1/2,z+1/2'
'x+1/2,-y+1/2,z+1/2'
loop_
_atom_site_label
_atom_site_type_symbol
_atom_site_fract_x
_atom_site_fract_y
_atom_site_fract_z
In1 In 0.0000 0.0000 0.0000
Ag1 Ag 0.0000 0.0000 0.5050
Ag2 Ag 0.0000 0.5000 0.2528
Mo1 Mo 0.0000 0.5000 0.7518


[13]
# InAgMo2 | Alexandria | PBE-GGA | optimized geometry
# DFT total energy: -25.65 eV for the cell shown
# Crystal system: tetragonal
# Calculated density: 9.92 g/cm3
# Total magnetic moment: 0.00 Bohr magnetons per cell
data_InAgMo2
_chemical_formula_sum 'In1 Ag1 Mo2'
_space_group_name_H-M_alt 'P 4/m m m'
_space_group_IT_number 123
_space_group_name_Hall '-P 4 2'
_cell_length_a 3.8837
_cell_length_b 3.8837
_cell_length_c 4.5987
_cell_angle_alpha 90.00
_cell_angle_beta 90.00
_cell_angle_gamma 90.00
loop_
_atom_site_label
_atom_site_type_symbol
_atom_site_fract_x
_atom_site_fract_y
_atom_site_fract_z
In1 In 0.0000 0.0000 0.0000
Ag1 Ag 0.5000 0.5000 0.0000
Mo1 Mo 0.0000 0.5000 0.5000


[14]
# InAg2Mo | Alexandria | PBE-GGA | optimized geometry
# DFT total energy: -17.72 eV for the cell shown
# Crystal system: monoclinic
# Calculated density: 9.67 g/cm3
# Total magnetic moment: 0.00 Bohr magnetons per cell
data_InAg2Mo
_chemical_formula_sum 'In1 Ag2 Mo1'
_space_group_name_H-M_alt 'P 1 m 1'
_space_group_IT_number 6
_cell_length_a 2.8556
_cell_length_b 4.5067
_cell_length_c 5.8319
_cell_angle_alpha 90.00
_cell_angle_beta 102.68
_cell_angle_gamma 90.00
loop_
_space_group_symop_operation_xyz
'x,y,z'
'x,-y,z'
loop_
_atom_site_label
_atom_site_type_symbol
_atom_site_fract_x
_atom_site_fract_y
_atom_site_fract_z
In1 In 0.0000 0.0000 0.0000
Ag1 Ag 0.2641 0.0000 0.4905
Ag2 Ag 0.8774 0.5000 0.7016
Mo1 Mo 0.5980 0.5000 0.2031


[15]
# InAg4Mo | Alexandria | PBE-GGA | optimized geometry
# DFT total energy: -87.82 eV for the cell shown
# Crystal system: cubic
# Calculated density: 9.19 g/cm3
# Total magnetic moment: 12.53 Bohr magnetons per cell
data_InAg4Mo
_chemical_formula_sum 'In4 Ag16 Mo4'
_space_group_name_H-M_alt 'F -4 3 m'
_space_group_IT_number 216
_space_group_name_Hall 'F -4 2 3'
_cell_length_a 7.7421
_cell_length_b 7.7421
_cell_length_c 7.7421
_cell_angle_alpha 90.00
_cell_angle_beta 90.00
_cell_angle_gamma 90.00
loop_
_atom_site_label
_atom_site_type_symbol
_atom_site_fract_x
_atom_site_fract_y
_atom_site_fract_z
In1 In 0.0000 0.0000 0.0000
Ag1 Ag 0.1247 0.1247 0.3753
Mo1 Mo 0.2500 0.2500 0.7500